Compound: LaPaCdO6
Source: the Alexandria database
Functional: GGA-PBE
Structure: relaxed

Values from the calculation:
DOS(E_F) (states/eV/f.u.): 10.67
E (Ry per atom): -0.5396
Energy relative to the elements, uncorrected (meV/atom): -2331.9
Total magnetization (μB/f.u.): 1.32

Cell: 5.7896 5.7896 4.9075 Å, 90.00 90.00 120.00°
Space group P312 (No. 149)
Symmetry-distinct sites (fractional):
La  0.0000  0.0000  0.0000 (multiplicity 1)
Pa  0.6667  0.3333  0.5000 (multiplicity 1)
Cd  0.3333  0.6667  0.0000 (multiplicity 1)
O  0.3654  0.0195  0.2526 (multiplicity 6)